Version one
First-principles (PBE) data for a geometry-optimized SrFeSe3 structure, as listed in OQMD via LeMat-Bulk.

a b c (Å): 4.9075 4.9075 4.9081
angles (deg): 90.00 90.00 90.21
Sites, in units of the cell vectors:
Sr: 0.0000 0.0000 0.0000
Fe: 0.5000 0.5000 0.5000
Se: 0.0000 0.5000 0.5000
Se: 0.5000 0.0000 0.5000
Se: 0.5000 0.5000 0.0000

Summary:
Space group = No. 65

***

Version two
First-principles (PBE) data for a geometry-optimized SrFeSe3 structure, as listed in OQMD via LeMat-Bulk.

a b c (Å): 7.3449 7.3449 7.3449
angles (deg): 129.05 129.05 74.93
Sites, in units of the cell vectors:
Sr: 0.2500 0.7500 0.5000
Sr: 0.7500 0.2500 0.5000
Fe: 0.0000 0.0000 0.0000
Fe: 0.5000 0.5000 0.0000
Se: 0.1478 0.6478 0.7957
Se: 0.2500 0.2500 0.0000
Se: 0.3522 0.1478 0.5000
Se: 0.6478 0.8522 0.5000
Se: 0.7500 0.7500 0.0000
Se: 0.8522 0.3522 0.2043

Summary:
Space group = No. 140

***

Which structure loses on stability? version one does.

***

Version one
First-principles (PBE) data for a geometry-optimized Sr2FeTcSe6 structure, as listed in OQMD via LeMat-Bulk.

a b c (Å): 6.6376 6.6521 6.8123
angles (deg): 63.86 66.92 66.07
Sites, in units of the cell vectors:
Sr: 0.2457 0.2508 0.2535
Sr: 0.7543 0.7492 0.7465
Fe: 0.5000 0.5000 0.5000
Tc: 0.0000 0.0000 0.0000
Se: 0.1647 0.7377 0.3394
Se: 0.2577 0.6812 0.8209
Se: 0.3367 0.1721 0.7771
Se: 0.6633 0.8279 0.2229
Se: 0.7423 0.3188 0.1791
Se: 0.8353 0.2623 0.6606

Summary:
Space group = No. 2

***

Version two
First-principles (PBE) data for a geometry-optimized Sr2FeTcSe6 structure, as listed in OQMD via LeMat-Bulk.

a b c (Å): 6.9465 6.9465 7.6588
angles (deg): 122.69 122.69 54.34
Sites, in units of the cell vectors:
Sr: 0.2439 0.2439 0.2559
Sr: 0.7561 0.7561 0.7441
Fe: 0.5000 0.5000 0.0000
Tc: 0.0000 0.0000 0.5000
Se: 0.1968 0.6934 0.1961
Se: 0.2534 0.2534 0.6621
Se: 0.3066 0.8032 0.8039
Se: 0.6934 0.1968 0.1961
Se: 0.7466 0.7466 0.3379
Se: 0.8032 0.3066 0.8039

Summary:
Space group = No. 12

***

Which structure loses on stability? version two does.